CsTiPSe6: relaxed, PBE-GGA.

a b c (Å): 6.1645 6.1647 8.8634
angles (deg): 90.00 90.00 60.00
Element x y z (fractional)
1 Se 0.0080 0.6361 0.6682
2 P 0.3333 0.3333 0.5000
3 Se 0.0080 0.3559 0.3318
4 Se 0.6360 0.0080 0.3318
5 Cs 0.0000 0.0000 0.0000
6 Se 0.6360 0.3559 0.6682
7 Se 0.3559 0.6361 0.3318
8 Ti 0.6666 0.6667 0.5000
9 Se 0.3559 0.0081 0.6682

Properties
The space group is P312, No. 149. The value obtained for the energy relative to the elements, uncorrected is -0.418 eV/atom.